DFT (PBE-GGA) results for an optimized crystal structure of DyTm2Ga.

Lattice parameters (Å, degrees): 4.6753 4.6753 4.6821 90.00 90.00 90.00
Space group P4/mmm (No. 123)
Unique sites:
Dy 0.0000 0.0000 0.0000 x1
Tm 0.0000 0.5000 0.5000 x2
Ga 0.5000 0.5000 0.0000 x1

Calculated values
Density of states at the Fermi level (states/eV per cell): 5.01
Energy of formation (kJ/mol of atoms): -23.3
ΔE to the lowest computed polymorph (meV/atom): 46
Energy (eV per atom): -4.38